TlCdIn5Pb2 | PBE | relaxed

The structure in POSCAR format:
```
TlCdIn5Pb2
1.0
5.151 0.000 0.000
-2.576 7.358 0.000
0.000 0.000 13.408
In Pb Tl Cd
10 4 2 2
Direct
0.745 0.490 0.092 In
0.250 0.500 0.258 In
0.086 0.173 0.093 In
0.255 0.510 0.592 In
0.412 0.824 0.092 In
0.583 0.166 0.255 In
0.417 0.834 0.755 In
0.588 0.176 0.592 In
0.914 0.827 0.593 In
0.750 0.500 0.758 In
0.091 0.181 0.426 Pb
0.909 0.819 0.926 Pb
0.089 0.178 0.756 Pb
0.911 0.822 0.256 Pb
0.583 0.166 0.927 Tl
0.417 0.834 0.427 Tl
0.748 0.497 0.426 Cd
0.252 0.503 0.926 Cd
```

## Properties
Formation energy from the elements in kcal/mol of atoms: 0.77



Ca2Se | PBE | relaxed

The structure in POSCAR format:
```
Ca2Se
1.0
4.980 0.000 0.000
2.490 4.313 0.000
2.490 1.438 4.066
Ca Se
2 1
Direct
0.250 0.250 0.250 Ca
0.750 0.750 0.750 Ca
0.000 0.000 0.000 Se
```

## Properties
ΔE_f (raw) in eV per formula unit: -2.84



Sm3ErIn2 | PBE | relaxed

The structure in POSCAR format:
```
Sm3ErIn2
1.0
4.980 0.000 0.000
0.000 9.117 0.000
-2.490 -4.559 7.732
Sm In Er
6 4 2
Direct
0.827 0.077 0.654 Sm
0.500 0.250 0.000 Sm
0.500 0.750 0.000 Sm
0.827 0.577 0.654 Sm
0.173 0.923 0.346 Sm
0.173 0.423 0.346 Sm
0.654 0.654 0.309 In
0.346 0.846 0.691 In
0.346 0.346 0.691 In
0.654 0.154 0.309 In
0.000 0.500 0.000 Er
0.000 0.000 0.000 Er
```

## Properties
Relative energy among the computed polymorphs in meV per atom: 44
Formation energy from the elements in kcal/mol of atoms: -7.11



Rb2NaVB | PBE | relaxed

The structure in POSCAR format:
```
Rb2NaVB
1.0
6.922 0.000 0.000
0.000 4.130 0.000
0.000 0.000 6.922
Rb B Na V
2 1 1 1
Direct
0.000 0.000 0.500 Rb
0.500 0.000 0.000 Rb
0.000 0.500 0.000 B
0.500 0.500 0.500 Na
0.000 0.000 0.000 V
```

## Properties
Formation energy from the elements in kcal/mol of atoms: 23.33



Sr3MgI6Br2 | PBE | relaxed

The structure in POSCAR format:
```
Sr3MgI6Br2
1.0
-3.930 -5.819 -1.394
1.827 -3.239 8.371
-6.966 5.790 -1.250
Br I Sr Mg
2 6 3 1
Direct
0.259 0.667 0.334 Br
0.741 0.333 0.666 Br
0.254 0.682 0.834 I
0.746 0.318 0.166 I
0.254 0.152 0.834 I
0.261 0.142 0.283 I
0.739 0.858 0.717 I
0.746 0.848 0.166 I
0.500 0.500 0.500 Sr
0.500 0.000 0.500 Sr
0.000 0.500 0.000 Sr
0.500 0.000 0.000 Mg
```

## Properties
ΔE_f (raw) in eV per formula unit: -19.25



Nd2GdH | PBE | relaxed

The structure in POSCAR format:
```
Nd2GdH
1.0
-3.441 -1.284 0.457
-0.543 -3.368 1.436
-1.554 1.927 8.701
Nd H Gd
2 1 1
Direct
0.722 0.722 0.834 Nd
0.278 0.278 0.166 Nd
0.000 0.000 0.000 H
0.500 0.500 0.500 Gd
```

## Properties
Relative energy among the computed polymorphs in meV per atom: 0